1.
CuRh2F after structural relaxation, computed with PBE.

Cell lengths 5.9487, 5.9487, 5.9487 Å; angles 90.00, 90.00, 90.00 degrees
Last column: nearest neighbours and their distance in Å.
Space group Fm-3m (No. 225)
Inequivalent atoms, fractional coordinates:
Cu1 0.0000 0.0000 0.0000 x4  8 Rh 2.58
Rh1 0.2500 0.2500 0.2500 x8  4 F 2.58, 4 Cu 2.58
F1 0.0000 0.0000 0.5000 x4  8 Rh 2.58

The value obtained for the calculated volume is 13.16 Å³ per atom. The total magnetic moment comes out at 3.3 μB per formula unit. As for the formation energy without anion corrections: 0.98 eV/f.u. As for the crystal system: cubic.



2.
CuRhF5 after structural relaxation, computed with PBE.

Cell lengths 5.9656, 9.7351, 7.3469 Å; angles 90.00, 108.03, 90.00 degrees
Last column: nearest neighbours and their distance in Å.
Space group C2/c (No. 15)
Inequivalent atoms, fractional coordinates:
Cu1 0.0000 0.0327 0.2500 x4  4 F 1.95-1.96
Rh1 0.0000 0.5000 0.0000 x4  6 F 2.01
F1 0.0000 0.4170 0.2500 x4  2 Rh 2.01
F2 0.1849 0.0925 0.9488 x8  1 Cu 1.96, 1 Rh 2.01
F3 0.2259 0.3522 0.6342 x8  1 Cu 1.95, 1 Rh 2.01

The value obtained for the calculated volume is 14.49 Å³ per atom. The total magnetic moment comes out at 1.0 μB per formula unit. As for the formation energy without anion corrections: -10.03 eV/f.u. As for the crystal system: monoclinic.



3.
Cu2RhF8 after structural relaxation, computed with PBE.

Cell lengths 6.3283, 6.3283, 3.9628 Å; angles 90.00, 90.00, 120.00 degrees
Last column: nearest neighbours and their distance in Å.
Space group P-3m1 (No. 164)
Inequivalent atoms, fractional coordinates:
Cu1 0.3333 0.6667 0.2190 x2  5 F 1.96-2.01
Rh1 0.0000 0.0000 0.0000 x1  6 F 1.95
F1 0.1525 0.3049 0.2549 x6  1 Rh 1.95, 1 Cu 1.99
F2 0.3333 0.6667 0.7255 x2  2 Cu 1.96-2.01

The value obtained for the calculated volume is 12.49 Å³ per atom. The total magnetic moment comes out at 2.6 μB per formula unit. As for the formation energy without anion corrections: -15.36 eV/f.u. As for the crystal system: trigonal.



4.
Cu2RhF after structural relaxation, computed with PBE.

Cell lengths 6.5062, 6.5062, 4.8084 Å; angles 90.00, 90.00, 90.00 degrees
Last column: nearest neighbours and their distance in Å.
Space group I-42d (No. 122)
Inequivalent atoms, fractional coordinates:
Cu1 0.2078 0.2500 0.1250 x8  2 F 2.20
Rh1 0.0000 0.0000 0.5000 x4  2 F 2.40, 4 Cu 2.57
F1 0.0000 0.0000 0.0000 x4  4 Cu 2.20, 2 Rh 2.40

The value obtained for the calculated volume is 12.72 Å³ per atom. The total magnetic moment comes out at 0.0 μB per formula unit. As for the formation energy without anion corrections: 0.11 eV/f.u. As for the crystal system: tetragonal.



5.
CuRh3F after structural relaxation, computed with PBE.

Cell lengths 4.2213, 4.2213, 4.2213 Å; angles 90.00, 90.00, 90.00 degrees
Last column: nearest neighbours and their distance in Å.
Space group Pm-3m (No. 221)
Inequivalent atoms, fractional coordinates:
Cu1 0.0000 0.0000 0.0000 x1  12 Rh 2.98
Rh1 0.0000 0.5000 0.5000 x3  2 F 2.11
F1 0.5000 0.5000 0.5000 x1  6 Rh 2.11

The value obtained for the calculated volume is 15.04 Å³ per atom. The total magnetic moment comes out at 3.4 μB per formula unit. As for the formation energy without anion corrections: 3.90 eV/f.u. As for the crystal system: cubic.



6.
Cu6RhF12 after structural relaxation, computed with PBE.

Cell lengths 9.2409, 9.2409, 9.5616 Å; angles 90.00, 90.00, 120.00 degrees
Last column: nearest neighbours and their distance in Å.
Space group R-3 (No. 148, hexagonal axes)
Inequivalent atoms, fractional coordinates:
Cu1 0.0276 0.2508 0.1594 x18  4 F 1.97-2.15
Rh1 0.0000 0.0000 0.5000 x3  6 F 2.03
F1 0.0087 0.8204 0.6160 x18  1 Rh 2.03, 2 Cu 2.10-2.22
F2 0.0106 0.2034 0.8693 x18  3 Cu 1.97-2.15

The value obtained for the calculated volume is 12.41 Å³ per atom. The total magnetic moment comes out at 3.0 μB per formula unit. As for the formation energy without anion corrections: -26.37 eV/f.u. As for the crystal system: trigonal.



7.
CuRhF4 after structural relaxation, computed with PBE.

Cell lengths 6.2244, 6.2244, 5.1010 Å; angles 90.00, 90.00, 90.00 degrees
Last column: nearest neighbours and their distance in Å.
Space group I-4 (No. 82)
Inequivalent atoms, fractional coordinates:
Cu1 0.0000 0.0000 0.0000 x2  4 F 1.97
Rh1 0.0000 0.5000 0.7500 x2  4 F 1.97
F1 0.1163 0.7936 0.7428 x8  1 Rh 1.97, 1 Cu 1.97

The value obtained for the calculated volume is 16.47 Å³ per atom. The total magnetic moment comes out at 2.0 μB per formula unit. As for the formation energy without anion corrections: -7.17 eV/f.u. As for the crystal system: tetragonal.



8.
Cu2Rh2F after structural relaxation, computed with PBE.

Cell lengths 3.5051, 3.5051, 12.7211 Å; angles 90.00, 90.00, 90.00 degrees
Last column: nearest neighbours and their distance in Å.
Space group I4/mmm (No. 139)
Inequivalent atoms, fractional coordinates:
Cu1 0.0000 0.0000 0.0978 x4  1 Cu 2.49, 4 Rh 2.61, 4 F 2.77
Rh1 0.0000 0.5000 0.2500 x4  4 Rh 2.48, 4 Cu 2.61
F1 0.0000 0.0000 0.5000 x2  8 Cu 2.77

The value obtained for the calculated volume is 15.63 Å³ per atom. The total magnetic moment comes out at 2.0 μB per formula unit. As for the formation energy without anion corrections: 1.48 eV/f.u. As for the crystal system: tetragonal.